Material: TmScInAu
Method: DFT, GGA-PBE
State: relaxed

Summary:
D(E_F) = 9.295 states/eV per cell
formation energy = -0.597 eV per atom
energy relative to the lowest polymorph listed for this composition = 4.8 kJ per mole of atoms
DFT total energy = -76.83 eV/cell

The structure in CIF format:
```
data_TmScInAu
_chemical_formula_sum 'Tm4 Sc4 In4 Au4'
_cell_length_a 7.138
_cell_length_b 7.138
_cell_length_c 7.138
_cell_angle_alpha 90.00
_cell_angle_beta 90.00
_cell_angle_gamma 90.00
_symmetry_space_group_name_H-M 'F -4 3 m'
_symmetry_Int_Tables_number 216
_symmetry_space_group_name_Hall 'F -4 2 3'
loop_
_atom_site_label
_atom_site_type_symbol
_atom_site_fract_x
_atom_site_fract_y
_atom_site_fract_z
_atom_site_occupancy
Tm1 Tm 0.000 0.000 0.000 1
Sc1 Sc 0.000 0.000 0.500 1
In1 In 0.250 0.250 0.750 1
Au1 Au 0.250 0.250 0.250 1
```